No. 1
This record from Alexandria via LeMat-Bulk describes crystalline Sm12Hg6Ir at its relaxed geometry. The functional is PBE.

a = 8.396 Å, b = 8.396 Å, c = 8.396 Å
α = 94.02°, β = 94.02°, γ = 94.02°
Fractional positions:
Sm1 0.043 0.701 0.928
Sm2 0.072 0.957 0.299
Sm3 0.184 0.534 0.410
Sm4 0.299 0.072 0.957
Sm5 0.410 0.184 0.534
Sm6 0.466 0.590 0.816
Sm7 0.534 0.410 0.184
Sm8 0.590 0.816 0.466
Sm9 0.701 0.928 0.043
Sm10 0.816 0.466 0.590
Sm11 0.928 0.043 0.701
Sm12 0.957 0.299 0.072
Hg1 0.150 0.359 0.765
Hg2 0.235 0.850 0.641
Hg3 0.359 0.765 0.150
Hg4 0.641 0.235 0.850
Hg5 0.765 0.150 0.359
Hg6 0.850 0.641 0.235
Ir1 0.500 0.500 0.500

Summary:
M_tot: 0.00 μB per atom
Space group: R-3
Energy of formation: -5.317 eV per formula unit
Crystal system: trigonal

No. 2
This record from Alexandria via LeMat-Bulk describes crystalline Sm6Hg3Ir at its relaxed geometry. The functional is PBE.

a = 8.501 Å, b = 8.501 Å, c = 8.501 Å
α = 93.10°, β = 93.10°, γ = 93.10°
Fractional positions:
Sm1 0.040 0.920 0.686
Sm2 0.080 0.314 0.960
Sm3 0.186 0.420 0.540
Sm4 0.314 0.960 0.080
Sm5 0.420 0.540 0.186
Sm6 0.460 0.814 0.580
Sm7 0.540 0.186 0.420
Sm8 0.580 0.460 0.814
Sm9 0.686 0.040 0.920
Sm10 0.814 0.580 0.460
Sm11 0.920 0.686 0.040
Sm12 0.960 0.080 0.314
Hg1 0.146 0.750 0.354
Hg2 0.250 0.646 0.854
Hg3 0.354 0.146 0.750
Hg4 0.646 0.854 0.250
Hg5 0.750 0.354 0.146
Hg6 0.854 0.250 0.646
Ir1 0.000 0.000 0.000
Ir2 0.500 0.500 0.500

Summary:
M_tot: 0.00 μB per atom
Space group: R-3c
Energy of formation: -3.496 eV per formula unit
Crystal system: trigonal

No. 3
This record from Alexandria via LeMat-Bulk describes crystalline Sm6Hg5Ir at its relaxed geometry. The functional is PBE.

a = 7.458 Å, b = 7.458 Å, c = 6.883 Å
α = 98.99°, β = 98.99°, γ = 109.35°
Fractional positions:
Sm1 0.055 0.368 0.710
Sm2 0.195 0.195 0.220
Sm3 0.368 0.055 0.710
Sm4 0.632 0.945 0.290
Sm5 0.805 0.805 0.780
Sm6 0.945 0.632 0.290
Hg1 0.217 0.783 0.000
Hg2 0.368 0.632 0.500
Hg3 0.500 0.500 0.000
Hg4 0.632 0.368 0.500
Hg5 0.783 0.217 0.000
Ir1 0.000 0.000 0.500

Summary:
M_tot: 0.00 μB per atom
Space group: C2/m
Energy of formation: -5.367 eV per formula unit
Crystal system: monoclinic

No. 4
This record from Alexandria via LeMat-Bulk describes crystalline Sm2HgIr at its relaxed geometry. The functional is PBE.

a = 5.143 Å, b = 5.143 Å, c = 5.143 Å
α = 60.00°, β = 60.00°, γ = 60.00°
Fractional positions:
Sm1 0.250 0.250 0.250
Sm2 0.750 0.750 0.750
Hg1 0.000 0.000 0.000
Ir1 0.500 0.500 0.500

Summary:
M_tot: 0.00 μB per atom
Space group: Fm-3m
Energy of formation: -2.163 eV per formula unit
Crystal system: cubic

No. 5
This record from Alexandria via LeMat-Bulk describes crystalline Sm7Hg2Ir2 at its relaxed geometry. The functional is PBE.

a = 6.905 Å, b = 6.905 Å, c = 7.261 Å
α = 90.00°, β = 90.00°, γ = 106.76°
Fractional positions:
Sm1 0.000 0.000 0.000
Sm2 0.000 0.500 0.251
Sm3 0.000 0.500 0.749
Sm4 0.500 0.000 0.251
Sm5 0.500 0.000 0.749
Sm6 0.500 0.500 0.245
Sm7 0.500 0.500 0.755
Hg1 0.181 0.181 0.500
Hg2 0.819 0.819 0.500
Ir1 0.288 0.712 0.000
Ir2 0.712 0.288 0.000

Summary:
M_tot: 0.00 μB per atom
Space group: Cmmm
Energy of formation: -4.616 eV per formula unit
Crystal system: orthorhombic

No. 6
This record from Alexandria via LeMat-Bulk describes crystalline Sm8Hg2Ir3 at its relaxed geometry. The functional is PBE.

a = 8.847 Å, b = 5.032 Å, c = 8.857 Å
α = 90.00°, β = 110.22°, γ = 90.00°
Fractional positions:
Sm1 0.114 0.000 0.385
Sm2 0.139 0.500 0.870
Sm3 0.369 0.500 0.640
Sm4 0.385 0.000 0.115
Sm5 0.615 0.000 0.885
Sm6 0.631 0.500 0.360
Sm7 0.861 0.500 0.130
Sm8 0.886 0.000 0.615
Hg1 0.243 0.500 0.257
Hg2 0.757 0.500 0.743
Ir1 0.243 0.000 0.743
Ir2 0.500 0.500 0.000
Ir3 0.757 0.000 0.257

Summary:
M_tot: 0.00 μB per atom
Space group: P2/m
Energy of formation: -5.822 eV per formula unit
Crystal system: monoclinic

No. 7
This record from Alexandria via LeMat-Bulk describes crystalline Sm3Hg2Ir at its relaxed geometry. The functional is PBE.

a = 8.200 Å, b = 8.200 Å, c = 7.549 Å
α = 90.00°, β = 90.00°, γ = 143.34°
Fractional positions:
Sm1 0.000 0.000 0.237
Sm2 0.000 0.000 0.763
Sm3 0.325 0.675 0.224
Sm4 0.325 0.675 0.776
Sm5 0.675 0.325 0.224
Sm6 0.675 0.325 0.776
Hg1 0.166 0.834 0.500
Hg2 0.500 0.500 0.000
Hg3 0.500 0.500 0.500
Hg4 0.834 0.166 0.500
Ir1 0.154 0.846 0.000
Ir2 0.846 0.154 0.000

Summary:
M_tot: 0.00 μB per atom
Space group: Cmmm
Energy of formation: -3.339 eV per formula unit
Crystal system: orthorhombic

No. 8
This record from Alexandria via LeMat-Bulk describes crystalline Sm2HgIr at its relaxed geometry. The functional is PBE.

a = 8.055 Å, b = 8.055 Å, c = 8.055 Å
α = 29.54°, β = 29.54°, γ = 29.54°
Fractional positions:
Sm1 0.234 0.234 0.234
Sm2 0.766 0.766 0.766
Hg1 0.000 0.000 0.000
Ir1 0.500 0.500 0.500

Summary:
M_tot: 0.00 μB per atom
Space group: R-3m
Energy of formation: -2.262 eV per formula unit
Crystal system: trigonal

No. 9
This record from Alexandria via LeMat-Bulk describes crystalline Sm6Hg5Ir at its relaxed geometry. The functional is PBE.

a = 9.143 Å, b = 9.143 Å, c = 9.143 Å
α = 146.53°, β = 131.13°, γ = 60.53°
Fractional positions:
Sm1 0.078 0.345 0.733
Sm2 0.226 0.000 0.226
Sm3 0.388 0.655 0.733
Sm4 0.612 0.345 0.267
Sm5 0.774 0.000 0.774
Sm6 0.922 0.655 0.267
Hg1 0.186 0.186 0.000
Hg2 0.333 0.833 0.500
Hg3 0.500 0.500 0.000
Hg4 0.667 0.167 0.500
Hg5 0.814 0.814 0.000
Ir1 0.000 0.500 0.500

Summary:
M_tot: 0.00 μB per atom
Space group: Immm
Energy of formation: -6.340 eV per formula unit
Crystal system: orthorhombic

No. 10
This record from Alexandria via LeMat-Bulk describes crystalline Sm6Hg2Ir at its relaxed geometry. The functional is PBE.

a = 8.755 Å, b = 8.755 Å, c = 8.755 Å
α = 112.10°, β = 109.60°, γ = 106.76°
Fractional positions:
Sm1 0.079 0.246 0.833
Sm2 0.182 0.269 0.451
Sm3 0.182 0.731 0.913
Sm4 0.269 0.601 0.332
Sm5 0.269 0.937 0.668
Sm6 0.413 0.246 0.167
Sm7 0.587 0.754 0.833
Sm8 0.731 0.063 0.332
Sm9 0.731 0.399 0.668
Sm10 0.818 0.269 0.087
Sm11 0.818 0.731 0.549
Sm12 0.921 0.754 0.167
Hg1 0.354 0.000 0.354
Hg2 0.500 0.356 0.856
Hg3 0.500 0.644 0.144
Hg4 0.646 0.000 0.646
Ir1 0.000 0.000 0.000
Ir2 0.000 0.500 0.500

Summary:
M_tot: 0.00 μB per atom
Space group: Immm
Energy of formation: -2.972 eV per formula unit
Crystal system: orthorhombic

No. 11
This record from Alexandria via LeMat-Bulk describes crystalline SmHgIr at its relaxed geometry. The functional is PBE.

a = 8.789 Å, b = 8.789 Å, c = 4.106 Å
α = 90.00°, β = 90.00°, γ = 153.66°
Fractional positions:
Sm1 0.098 0.902 0.750
Sm2 0.902 0.098 0.250
Hg1 0.293 0.707 0.750
Hg2 0.707 0.293 0.250
Ir1 0.456 0.544 0.750
Ir2 0.544 0.456 0.250

Summary:
M_tot: 0.00 μB per atom
Space group: Cmcm
Energy of formation: -1.658 eV per formula unit
Crystal system: orthorhombic

No. 12
This record from Alexandria via LeMat-Bulk describes crystalline Sm2HgIr at its relaxed geometry. The functional is PBE.

a = 7.870 Å, b = 7.870 Å, c = 7.870 Å
α = 30.77°, β = 30.77°, γ = 30.77°
Fractional positions:
Sm1 0.000 0.000 0.000
Sm2 0.201 0.201 0.201
Hg1 0.435 0.435 0.435
Ir1 0.599 0.599 0.599

Summary:
M_tot: 0.00 μB per atom
Space group: R3m
Energy of formation: -2.255 eV per formula unit
Crystal system: trigonal